An optimized crystal structure of Er2Pa3Se8, computed with PBE.

a = 6.7378 Å, b = 8.0642 Å, c = 8.3678 Å
α = 118.81°, β = 104.80°, γ = 90.00°
Last column: magnetic moment on the atom in μB.
Atoms (fractional coordinates):
Er 0.3307 0.2544 0.5088  0.06
Er 0.6693 0.7456 0.4912  0.06
Se 0.5836 0.6278 0.7445  -0.02
Se 0.4164 0.8833 0.2555  -0.02
Se 0.9185 0.1319 0.2639  -0.02
Se 0.4164 0.3722 0.2555  -0.02
Se 0.8907 0.6072 0.2144  -0.03
Se 0.0815 0.8681 0.7361  -0.02
Se 0.1093 0.3928 0.7856  -0.03
Se 0.5836 0.1167 0.7445  -0.02
Pa 0.0000 0.7591 0.0000  1.17
Pa 0.0000 0.2409 0.0000  1.17
Pa 0.5000 0.0000 0.0000  1.41

DOS(E_F) in states/eV/atom: 0.916
E_form (uncorrected) in eV per atom: -1.428
Symmetry: C2/m (12)
VASP energy in eV/atom: -6.465
Crystal system: monoclinic

---

An optimized crystal structure of KIn3Pb4, computed with PBE.

a = 5.0278 Å, b = 5.0278 Å, c = 10.8114 Å
α = 90.00°, β = 90.00°, γ = 90.00°
Atoms (fractional coordinates):
K 0.0000 0.0000 0.5000
In 0.5000 0.5000 0.3650
In 0.0000 0.0000 0.0000
In 0.5000 0.5000 0.6350
Pb 0.5000 0.0000 0.1890
Pb 0.0000 0.5000 0.8110
Pb 0.0000 0.5000 0.1890
Pb 0.5000 0.0000 0.8110

DOS(E_F) in states/eV/atom: 0.323
ΔH_f (0 K) in kJ/mol of formula units: -21
Symmetry: P4/mmm (123)
VASP energy in eV/atom: -3.046
Crystal system: tetragonal

---

An optimized crystal structure of Nd9Y2Er3, computed with PBE.

a = 9.0593 Å, b = 9.0593 Å, c = 14.0764 Å
α = 90.00°, β = 90.00°, γ = 120.00°
Atoms (fractional coordinates):
Nd 0.9194 0.5187 0.2500
Nd 0.2739 0.4063 0.9577
Nd 0.5937 0.8677 0.9577
Nd 0.8677 0.2739 0.0423
Nd 0.5993 0.0806 0.2500
Nd 0.4063 0.1323 0.0423
Nd 0.1323 0.7261 0.5423
Nd 0.4063 0.1323 0.4577
Nd 0.0806 0.4813 0.7500
Nd 0.4007 0.9194 0.7500
Nd 0.5937 0.8677 0.5423
Nd 0.7261 0.5937 0.4577
Nd 0.7261 0.5937 0.0423
Nd 0.4813 0.4007 0.2500
Nd 0.8677 0.2739 0.4577
Nd 0.5187 0.5993 0.7500
Nd 0.1323 0.7261 0.9577
Nd 0.2739 0.4063 0.5423
Er 0.7510 0.8274 0.2500
Er 0.8274 0.0764 0.7500
Er 0.0764 0.2490 0.2500
Er 0.1726 0.9236 0.2500
Er 0.9236 0.7510 0.7500
Er 0.2490 0.1726 0.7500
Y 0.3333 0.6667 0.1424
Y 0.6667 0.3333 0.6424
Y 0.3333 0.6667 0.3576
Y 0.6667 0.3333 0.8576

DOS(E_F) in states/eV/atom: 1.296
ΔH_f (0 K) in kJ/mol of formula units: 328
Symmetry: P6_3/m (176)
VASP energy in eV/atom: -4.724
Crystal system: hexagonal